No. 1
The following is a PBE calculation of an optimized crystal structure of NaHgPd, from the Alexandria database.

Calculated values
Energy above the most stable polymorph in this dataset, eV/f.u.: 0.45
M_tot, μB/f.u.: 0.00

abc: 3.580 3.580 5.460
angles: 109.13 109.13 90.00
Fractional coordinates of all 3 atoms:
Na1 0.613 0.613 0.226
Hg1 0.301 0.301 0.603
Pd1 0.936 0.936 0.871

=====

No. 2
The following is a PBE calculation of an optimized crystal structure of LaDy2Lu, from the Alexandria database.

Calculated values
Energy above the most stable polymorph in this dataset, eV/f.u.: 0.00
M_tot, μB/f.u.: 0.00

abc: 3.576 3.576 11.826
angles: 81.30 81.30 60.00
Fractional coordinates of all 4 atoms:
Lu1 0.500 0.500 0.500
La1 0.000 0.000 0.000
Dy1 0.753 0.753 0.742
Dy2 0.247 0.247 0.258

=====

No. 3
The following is a PBE calculation of an optimized crystal structure of LiReBr, from the Alexandria database.

Calculated values
Energy above the most stable polymorph in this dataset, eV/f.u.: 2.44
M_tot, μB/f.u.: 0.91

abc: 4.247 4.247 4.247
angles: 60.00 60.00 60.00
Fractional coordinates of all 3 atoms:
Re1 0.250 0.250 0.250
Li1 0.500 0.500 0.500
Br1 0.000 0.000 0.000

=====

No. 4
The following is a PBE calculation of an optimized crystal structure of ErSi2Ru, from the Alexandria database.

Calculated values
E_tot, eV per atom: -6.908
M_tot, μB/f.u.: 0.00

abc: 4.053 4.053 5.394
angles: 67.93 67.93 60.00
Fractional coordinates of all 4 atoms:
Er1 0.500 0.500 0.500
Si1 0.714 0.714 0.857
Si2 0.286 0.286 0.143
Ru1 0.000 0.000 0.000

=====

No. 5
The following is a PBE calculation of an optimized crystal structure of Rb2HgAsAu, from the Alexandria database.

Calculated values
Energy above the most stable polymorph in this dataset, eV/f.u.: 0.00
M_tot, μB/f.u.: 0.00

abc: 6.757 6.757 4.879
angles: 90.00 90.00 90.00
Fractional coordinates of all 5 atoms:
Hg1 0.500 0.500 0.500
Au1 0.000 0.000 0.500
Rb1 0.500 0.000 0.000
Rb2 0.000 0.500 0.000
As1 0.000 0.000 0.000

=====

No. 6
The following is a PBE calculation of an optimized crystal structure of LaEr2Ni, from the Alexandria database.

Calculated values
Energy above the most stable polymorph in this dataset, eV/f.u.: 0.00
M_tot, μB/f.u.: 0.00

abc: 3.672 6.369 9.607
angles: 90.00 90.00 106.67
Fractional coordinates of all 8 atoms:
Ni1 0.264 0.529 0.750
La1 0.420 0.839 0.250
Er1 0.141 0.281 0.071
Er2 0.859 0.719 0.571
La2 0.580 0.161 0.750
Ni2 0.736 0.471 0.250
Er3 0.141 0.281 0.429
Er4 0.859 0.719 0.929

=====

No. 7
The following is a PBE calculation of an optimized crystal structure of Zr, from the Alexandria database.

Calculated values
Energy above the most stable polymorph in this dataset, eV/f.u.: 2.51
M_tot, μB/f.u.: 0.62

abc: 7.889 7.889 7.889
angles: 90.00 90.00 90.00
Fractional coordinates of all 12 atoms:
Zr1 0.000 0.500 0.250
Zr2 0.000 0.250 0.500
Zr3 0.750 0.000 0.500
Zr4 0.000 0.750 0.500
Zr5 0.750 0.500 0.000
Zr6 0.500 0.000 0.750
Zr7 0.250 0.000 0.500
Zr8 0.500 0.250 0.000
Zr9 0.000 0.500 0.750
Zr10 0.500 0.000 0.250
Zr11 0.500 0.750 0.000
Zr12 0.250 0.500 0.000

=====

No. 8
The following is a PBE calculation of an optimized crystal structure of Ce4ZnSi3, from the Alexandria database.

Calculated values
E_tot, eV per atom: -5.681
M_tot, μB/f.u.: 4.44

abc: 4.340 3.962 10.998
angles: 90.00 90.00 90.00
Fractional coordinates of all 8 atoms:
Zn1 0.500 0.500 0.066
Ce1 0.500 0.000 0.644
Ce2 0.000 0.500 0.855
Si1 0.000 0.000 0.432
Si2 0.000 0.500 0.570
Si3 0.500 0.000 0.928
Ce3 0.500 0.500 0.359
Ce4 0.000 0.000 0.147

=====

No. 9
The following is a PBE calculation of an optimized crystal structure of LiCu2O2, from the Alexandria database.

Calculated values
Energy above the most stable polymorph in this dataset, eV/f.u.: 0.00
M_tot, μB/f.u.: 0.97

abc: 2.886 5.732 12.591
angles: 90.00 90.00 90.00
Fractional coordinates of all 20 atoms:
O1 0.250 0.134 0.593
O2 0.750 0.366 0.093
O3 0.750 0.386 0.390
Cu1 0.250 0.124 0.100
Li1 0.750 0.367 0.928
Li2 0.250 0.133 0.428
Cu2 0.750 0.876 0.900
O4 0.250 0.634 0.907
O5 0.750 0.866 0.407
Cu3 0.250 0.624 0.400
Cu4 0.750 0.376 0.600
Cu5 0.750 0.380 0.242
Cu6 0.250 0.120 0.742
O6 0.750 0.886 0.110
O7 0.250 0.114 0.890
Li3 0.250 0.633 0.072
O8 0.250 0.614 0.610
Cu7 0.750 0.880 0.258
Li4 0.750 0.867 0.572
Cu8 0.250 0.620 0.758

=====

No. 10
The following is a PBE calculation of an optimized crystal structure of Nb3TcRh, from the Alexandria database.

Calculated values
Energy above the most stable polymorph in this dataset, eV/f.u.: 0.00
M_tot, μB/f.u.: 0.00

abc: 4.736 4.736 4.736
angles: 90.00 90.00 90.00
Fractional coordinates of all 5 atoms:
Nb1 0.000 0.500 0.000
Nb2 0.500 0.000 0.000
Tc1 0.000 0.000 0.000
Nb3 0.000 0.000 0.500
Rh1 0.500 0.500 0.500

=====

No. 11
The following is a PBE calculation of an optimized crystal structure of PmTc3, from the Alexandria database.

Calculated values
E_tot, eV per atom: -8.057
M_tot, μB/f.u.: 0.00

abc: 5.031 5.031 9.039
angles: 82.78 82.78 123.25
Fractional coordinates of all 8 atoms:
Tc1 0.750 0.250 0.500
Tc2 0.250 0.750 0.500
Tc3 0.000 0.500 0.000
Pm1 0.603 0.603 0.795
Tc4 0.784 0.784 0.431
Tc5 0.216 0.216 0.569
Pm2 0.397 0.397 0.205
Tc6 0.500 0.000 0.000

=====

No. 12
The following is a PBE calculation of an optimized crystal structure of PmDy3Al, from the Alexandria database.

Calculated values
Energy above the most stable polymorph in this dataset, eV/f.u.: 0.00
M_tot, μB/f.u.: 0.00

abc: 4.797 4.773 12.658
angles: 90.00 79.08 90.00
Fractional coordinates of all 10 atoms:
Dy1 0.270 0.750 0.108
Al1 0.479 0.750 0.691
Dy2 0.874 0.750 0.900
Dy3 0.378 0.250 0.892
Al2 0.169 0.250 0.309
Dy4 0.774 0.250 0.100
Pm1 0.974 0.250 0.701
Dy5 0.574 0.250 0.500
Dy6 0.074 0.750 0.500
Pm2 0.675 0.750 0.299